Computed, not measured: a relaxed structure of CaErGePd at the PBE level of DFT.

Cell: 7.059 7.059 7.059 Å, 90.00 90.00 90.00°
Space group F-43m (No. 216)
Unique sites:
Ca1 0.000 0.000 0.000 [4 per cell]
Er1 0.000 0.000 0.500 [4 per cell]
Ge1 0.250 0.250 0.750 [4 per cell]
Pd1 0.250 0.250 0.250 [4 per cell]

Calculated values
ΔE_f	-0.721	eV per atom
M_tot	0.00	μB per formula unit
E_tot	-77.04	eV for the cell shown


Computed, not measured: a relaxed structure of Fe3Rh7 at the PBE level of DFT.

Cell: 7.4289 7.4289 5.9670 Å, 90.00 90.00 120.00°
Space group P6_3mc (No. 186)
Unique sites:
Fe1 0.2107 0.4214 0.0000 [6 per cell]
Rh1 0.0810 0.5405 0.3252 [6 per cell]
Rh2 0.1215 0.2431 0.6255 [6 per cell]
Rh3 0.3333 0.6667 0.6747 [2 per cell]

Calculated values
ΔE_f	0.199	eV per atom
M_tot	10.46	μB per formula unit
E_tot	-149.73	eV for the cell shown


Computed, not measured: a relaxed structure of Nb2Pd6Pt at the PBE level of DFT.

Cell: 7.556 13.925 2.781 Å, 90.00 90.00 90.00°
Space group Cmmm (No. 65)
Unique sites:
Nb1 0.000 0.184 0.000 [4 per cell]
Pd1 0.177 0.000 0.000 [4 per cell]
Pd2 0.183 0.338 0.500 [8 per cell]
Pt1 0.000 0.500 0.500 [2 per cell]

Calculated values
ΔE_f	-0.189	eV per atom
M_tot	0.00	μB per formula unit
E_tot	-118.07	eV for the cell shown
ΔE to the lowest computed polymorph	203.2	meV per atom


Computed, not measured: a relaxed structure of Ca2CdBi at the PBE level of DFT.

Cell: 5.644 5.644 19.619 Å, 90.00 90.00 90.00°
Space group I-42d (No. 122)
Unique sites:
Ca1 0.246 0.250 0.125 [8 per cell]
Cd1 0.000 0.000 0.500 [4 per cell]
Bi1 0.000 0.000 0.000 [4 per cell]

Calculated values
ΔE_f	-0.154	eV per atom
M_tot	0.00	μB per formula unit
E_tot	-37.65	eV for the cell shown
ΔE to the lowest computed polymorph	454.3	meV per atom


Computed, not measured: a relaxed structure of Y4CdP at the PBE level of DFT.

Cell: 8.814 8.814 8.814 Å, 90.00 90.00 90.00°
Space group F-43m (No. 216)
Unique sites:
Y1 0.125 0.125 0.125 [16 per cell]
Cd1 0.250 0.250 0.750 [4 per cell]
P1 0.000 0.000 0.500 [4 per cell]

Calculated values
ΔE_f	0.417	eV per atom
M_tot	0.00	μB per formula unit
E_tot	-118.71	eV for the cell shown


Computed, not measured: a relaxed structure of TmPa3Ir4 at the PBE level of DFT.

Cell: 11.585 8.276 3.764 Å, 90.00 107.99 90.00°
Space group Cm (No. 8)
Unique sites:
Tm1 0.000 0.000 0.000 [2 per cell]
Pa1 0.000 0.500 0.002 [2 per cell]
Pa2 0.224 0.248 0.719 [4 per cell]
Ir1 0.262 0.000 0.252 [2 per cell]
Ir2 0.262 0.500 0.257 [2 per cell]
Ir3 0.461 0.237 0.464 [4 per cell]

Calculated values
ΔE_f	-0.943	eV per atom
M_tot	0.00	μB per formula unit
E_tot	-151.89	eV for the cell shown


Computed, not measured: a relaxed structure of Y5Ru4 at the PBE level of DFT.

Cell: 8.4059 8.4059 6.3476 Å, 90.00 90.00 120.00°
Space group P6_3/mcm (No. 193)
Unique sites:
Y1 0.0000 0.2699 0.2500 [6 per cell]
Y2 0.3333 0.6667 0.0000 [4 per cell]
Ru1 0.0000 0.0000 0.0000 [2 per cell]
Ru2 0.0000 0.3844 0.7500 [6 per cell]

Calculated values
ΔE_f	-0.174	eV per atom
M_tot	0.00	μB per formula unit
E_tot	-141.97	eV for the cell shown
ΔE to the lowest computed polymorph	0.0	meV per atom


Computed, not measured: a relaxed structure of Cd2POs at the PBE level of DFT.

Cell: 6.637 6.637 6.637 Å, 90.00 90.00 90.00°
Space group Fm-3m (No. 225)
Unique sites:
Cd1 0.250 0.250 0.250 [8 per cell]
P1 0.000 0.000 0.000 [4 per cell]
Os1 0.000 0.000 0.500 [4 per cell]

Calculated values
ΔE_f	0.962	eV per atom
M_tot	0.00	μB per formula unit
E_tot	-58.49	eV for the cell shown
ΔE to the lowest computed polymorph	903.0	meV per atom


Computed, not measured: a relaxed structure of RbSr at the PBE level of DFT.

Cell: 8.494 8.494 8.533 Å, 90.00 90.00 90.00°
Space group P4_2/mnm (No. 136)
Unique sites:
Rb1 0.181 0.181 0.000 [4 per cell]
Sr1 0.177 0.177 0.500 [4 per cell]

Calculated values
ΔE_f	0.377	eV per atom
M_tot	0.00	μB per formula unit
E_tot	-7.58	eV for the cell shown


Computed, not measured: a relaxed structure of TbDy2YEr5 at the PBE level of DFT.

Cell: 8.789 8.789 14.776 Å, 90.00 90.00 90.00°
Space group I4/mcm (No. 140)
Unique sites:
Tb1 0.000 0.000 0.250 [4 per cell]
Dy1 0.114 0.386 0.000 [8 per cell]
Y1 0.000 0.500 0.250 [4 per cell]
Er1 0.000 0.000 0.000 [4 per cell]
Er2 0.207 0.293 0.366 [16 per cell]

Calculated values
ΔE_f	0.299	eV per atom
M_tot	0.00	μB per formula unit
E_tot	-161.68	eV for the cell shown